Here is a relaxed structure of LiAsRu3 from Alexandria. Energies are from PBE.

Results
symmetry = Pm-3m (221)
excess energy over the best structure of this formula in the dataset = 213 meV per atom
DFT formation energy = 1.0609 eV/atom

Structure (POSCAR):
```
LiAsRu3
1.0
4.1283 0.0000 0.0000
0.0000 4.1283 0.0000
0.0000 0.0000 4.1283
Li As Ru
1 1 3
direct
0.0000 0.0000 0.0000
0.5000 0.5000 0.5000
0.0000 0.0000 0.5000
0.0000 0.5000 0.0000
0.5000 0.0000 0.0000
```

Here is a relaxed structure of LiAsRu2 from Alexandria. Energies are from PBE.

Results
symmetry = P4mm (99)
DFT formation energy = -0.0085 eV/atom

Structure (POSCAR):
```
LiAsRu2
1.0
3.0521 0.0000 0.0000
0.0000 3.0521 0.0000
0.0000 0.0000 5.7175
Li As Ru
1 1 2
direct
0.0000 0.0000 0.0000
0.5000 0.5000 0.7685
0.0000 0.0000 0.5216
0.5000 0.5000 0.2252
```

Here is a relaxed structure of LiAsRu from Alexandria. Energies are from PBE.

Results
symmetry = F-43m (216)
DFT formation energy = 0.3001 eV/atom

Structure (POSCAR):
```
LiAsRu
1.0
0.0000 2.7722 2.7722
2.7722 0.0000 2.7722
2.7722 2.7722 0.0000
Li As Ru
1 1 1
direct
0.0000 0.0000 0.0000
0.2500 0.2500 0.2500
0.7500 0.7500 0.7500
```